Material: Ca2Ta2O7
Method: DFT, meta-GGA SCAN
State: single point on PBEsol structure Values from VASP.

Cell and atoms, written as Quantum ESPRESSO input:
```
&SYSTEM
  ibrav = 0, nat = 22, ntyp = 3
/
ATOMIC_SPECIES
Ca 40.08 Ca.upf
Ta 180.95 Ta.upf
O 16.00 O.upf
CELL_PARAMETERS angstrom
-2.933 -3.867 -5.545
3.394 -6.058 -2.468
-2.924 -6.642 1.281
ATOMIC_POSITIONS angstrom
Ca -3.237 -7.325 -2.973
Ca -0.078 -7.033 -4.848
Ca -1.540 -10.354 -4.207
Ca -0.073 -8.421 -1.435
Ta 1.389 -5.100 -2.075
Ta -1.770 -5.392 -0.201
Ta -0.308 -2.071 -0.841
Ta -1.775 -4.004 -3.614
O 1.610 -6.916 -2.814
O -2.400 -5.000 -2.029
O -2.271 -7.275 -0.511
O -0.186 -10.997 -2.027
O -2.277 -5.570 -4.705
O -0.192 -9.292 -6.221
O -1.268 -3.509 0.109
O 0.037 -4.775 -3.475
O -1.232 -8.284 -3.366
O -1.848 -12.425 -5.049
O -4.073 -9.651 -3.918
O -1.272 -2.438 -2.523
O 0.040 -5.845 -0.842
O 1.168 -3.284 -1.336
```

## Properties
The value obtained for the total energy is -21.117 eV/atom. The theoretical density comes out at 6.5 g/cm³. For the raw formation energy, the calculation gives -3.29 eV per atom.

Material: CaTaO2
Method: DFT, meta-GGA SCAN
State: single point on PBEsol structure Values from VASP.

Cell and atoms, written as Quantum ESPRESSO input:
```
&SYSTEM
  ibrav = 0, nat = 4, ntyp = 3
/
ATOMIC_SPECIES
Ca 40.08 Ca.upf
O 16.00 O.upf
Ta 180.95 Ta.upf
CELL_PARAMETERS angstrom
3.934 0.000 0.000
1.967 3.407 0.000
1.967 1.136 3.212
ATOMIC_POSITIONS angstrom
Ca 0.000 0.000 0.000
O 1.967 1.136 0.803
O 5.902 3.407 2.409
Ta 3.934 2.272 1.606
```

## Properties
The value obtained for the total energy is -23.570 eV/atom. The theoretical density comes out at 9.8 g/cm³. For the raw formation energy, the calculation gives -1.39 eV per atom.

Material: CaTa4O11
Method: DFT, meta-GGA SCAN
State: single point on PBEsol structure Values from VASP.

Cell and atoms, written as Quantum ESPRESSO input:
```
&SYSTEM
  ibrav = 0, nat = 32, ntyp = 3
/
ATOMIC_SPECIES
Ca 40.08 Ca.upf
Ta 180.95 Ta.upf
O 16.00 O.upf
CELL_PARAMETERS angstrom
6.209 0.000 0.000
-3.105 5.377 0.000
0.000 0.000 12.313
ATOMIC_POSITIONS angstrom
Ca 0.000 3.585 9.234
Ca 3.105 1.792 3.078
Ta 3.105 1.792 9.234
Ta 0.000 3.585 3.078
Ta -1.120 1.940 0.000
Ta 1.120 1.940 6.156
Ta 3.969 0.000 6.156
Ta 2.241 0.000 0.000
Ta 1.984 3.437 0.000
Ta -1.984 3.437 6.156
O 0.000 3.585 11.885
O 3.105 1.792 5.729
O 3.105 1.792 0.427
O 0.000 3.585 6.583
O -2.337 4.047 0.000
O 2.337 4.047 6.156
O 1.536 0.000 6.156
O 4.673 0.000 0.000
O 0.768 1.330 0.000
O -0.768 1.330 6.156
O -1.588 3.331 4.239
O 2.090 3.041 10.395
O 2.531 0.290 10.395
O 0.574 5.088 4.239
O 1.014 2.337 4.239
O 4.119 3.041 8.074
O 1.516 2.047 8.074
O 4.693 2.047 10.395
O 3.679 0.290 8.074
O -0.574 5.088 1.918
O -1.014 2.337 1.918
O 1.588 3.331 1.918
```

## Properties
The value obtained for the total energy is -24.709 eV/atom. The theoretical density comes out at 7.6 g/cm³. For the raw formation energy, the calculation gives -3.18 eV per atom.

Material: Ca2TaVO6
Method: DFT, meta-GGA SCAN
State: single point on PBEsol structure Values from VASP.

Cell and atoms, written as Quantum ESPRESSO input:
```
&SYSTEM
  ibrav = 0, nat = 20, ntyp = 4
/
ATOMIC_SPECIES
Ca 40.08 Ca.upf
Ta 180.95 Ta.upf
V 50.94 V.upf
O 16.00 O.upf
CELL_PARAMETERS angstrom
5.404 0.001 0.000
-0.012 5.563 0.000
0.000 0.000 7.656
ATOMIC_POSITIONS angstrom
Ca 0.052 0.228 1.914
Ca 2.623 3.124 1.914
Ca 2.770 2.440 5.742
Ca 5.340 5.336 5.742
Ta -0.006 2.781 0.000
Ta -0.006 2.781 3.828
V 2.702 0.001 0.000
V 2.702 0.001 3.828
O 4.314 1.170 4.184
O 1.576 1.650 3.495
O 1.079 4.394 3.472
O 3.816 3.914 7.323
O 0.495 2.935 5.742
O 3.816 3.914 4.161
O 1.576 1.650 0.333
O 4.314 1.170 7.300
O 3.103 5.459 1.914
O 1.079 4.394 0.356
O 2.289 0.105 5.742
O 4.897 2.629 1.914
```

## Properties
The value obtained for the total energy is -17.267 eV/atom. The theoretical density comes out at 5.9 g/cm³. For the raw formation energy, the calculation gives -3.19 eV per atom.

Material: CaTcO3
Method: DFT, meta-GGA SCAN
State: single point on PBEsol structure Values from VASP.

Cell and atoms, written as Quantum ESPRESSO input:
```
&SYSTEM
  ibrav = 0, nat = 10, ntyp = 3
/
ATOMIC_SPECIES
Ca 40.08 Ca.upf
Tc 98.00 Tc.upf
O 16.00 O.upf
CELL_PARAMETERS angstrom
5.379 -0.025 -0.018
2.609 4.704 -0.018
2.609 1.528 4.449
ATOMIC_POSITIONS angstrom
Ca 7.883 4.618 3.284
Ca 2.585 1.514 1.077
Tc 10.537 6.173 4.389
Tc 5.238 3.069 2.182
O 5.280 1.253 1.423
O 3.675 2.656 3.304
O 4.114 3.747 0.716
O 6.803 3.482 1.062
O 5.199 4.885 2.941
O 6.365 2.393 3.648
```

## Properties
The value obtained for the total energy is -15.039 eV/atom. The theoretical density comes out at 5.5 g/cm³. For the raw formation energy, the calculation gives -2.36 eV per atom.

Material: CaTcO3
Method: DFT, meta-GGA SCAN
State: single point on PBEsol structure Values from VASP.

Cell and atoms, written as Quantum ESPRESSO input:
```
&SYSTEM
  ibrav = 0, nat = 20, ntyp = 3
/
ATOMIC_SPECIES
Ca 40.08 Ca.upf
Tc 98.00 Tc.upf
O 16.00 O.upf
CELL_PARAMETERS angstrom
-2.229 -2.654 4.046
4.870 -0.091 2.623
-1.711 6.633 3.408
ATOMIC_POSITIONS angstrom
Ca 1.711 1.579 2.079
Ca 3.095 0.283 5.297
Ca -0.781 2.309 7.997
Ca -2.166 3.605 4.779
Tc 1.321 -1.372 3.334
Tc -0.856 3.316 1.704
Tc 0.465 1.944 5.038
Tc 0.000 0.000 0.000
O -2.334 -0.762 4.605
O 0.819 0.047 4.613
O 3.264 4.650 5.471
O 0.111 3.841 5.463
O 2.911 -0.296 2.825
O -0.437 2.202 3.295
O -1.283 1.476 5.860
O 0.668 4.394 8.173
O -1.981 4.184 7.251
O 1.367 1.686 6.781
O 2.213 2.413 4.217
O 0.262 -0.506 1.904
```

## Properties
The value obtained for the total energy is -15.074 eV/atom. The theoretical density comes out at 5.5 g/cm³. For the raw formation energy, the calculation gives -2.39 eV per atom.

Material: Ca5Te3O14
Method: DFT, meta-GGA SCAN
State: single point on PBEsol structure Values from VASP.

Cell and atoms, written as Quantum ESPRESSO input:
```
&SYSTEM
  ibrav = 0, nat = 44, ntyp = 3
/
ATOMIC_SPECIES
Ca 40.08 Ca.upf
Te 127.60 Te.upf
O 16.00 O.upf
CELL_PARAMETERS angstrom
7.371 -0.001 0.000
0.029 7.371 0.000
0.000 0.000 10.466
ATOMIC_POSITIONS angstrom
Ca 1.833 5.560 2.869
Ca 5.418 5.661 2.617
Ca 5.504 1.874 2.365
Ca 5.682 5.395 7.850
Ca 3.700 3.685 0.000
Ca 1.718 1.975 2.617
Ca 1.982 1.710 7.850
Ca 1.896 5.497 8.102
Ca 0.000 0.000 5.233
Ca 5.567 1.811 7.598
Te 0.015 3.686 5.233
Te 3.700 3.685 5.233
Te 0.015 3.686 0.000
Te 3.686 0.000 0.000
Te 0.000 0.000 0.000
Te 3.686 0.000 5.233
O 4.112 3.272 3.444
O 3.639 1.859 5.925
O 6.066 3.412 9.104
O 7.107 2.366 3.871
O 3.955 5.861 9.285
O 2.395 7.098 6.595
O 7.339 5.544 9.774
O 5.573 7.317 0.692
O 1.335 3.959 1.362
O 0.255 2.176 6.414
O 5.527 3.739 5.925
O 1.873 3.631 4.541
O 5.224 7.125 6.414
O 1.827 0.054 9.774
O 3.964 1.319 9.104
O 6.960 0.413 8.678
O 0.440 6.958 1.789
O 1.524 3.439 9.285
O 2.177 0.246 4.052
O 7.145 5.195 4.052
O 3.436 6.052 1.362
O 3.445 1.510 1.181
O 0.061 1.827 0.692
O 3.761 5.512 4.541
O 0.293 5.005 6.595
O 5.877 3.931 1.181
O 5.006 0.273 3.871
O 3.289 4.098 7.022
```

## Properties
The value obtained for the total energy is -13.536 eV/atom. The theoretical density comes out at 4.7 g/cm³. For the raw formation energy, the calculation gives -2.30 eV per atom.

Material: CaTe2O5
Method: DFT, meta-GGA SCAN
State: single point on PBEsol structure Values from VASP.

Cell and atoms, written as Quantum ESPRESSO input:
```
&SYSTEM
  ibrav = 0, nat = 32, ntyp = 3
/
ATOMIC_SPECIES
Ca 40.08 Ca.upf
O 16.00 O.upf
Te 127.60 Te.upf
CELL_PARAMETERS angstrom
-3.126 -4.652 -0.875
7.821 -5.050 -1.097
-3.747 0.571 10.351
ATOMIC_POSITIONS angstrom
Ca 1.935 -8.181 7.133
Ca -3.178 -1.135 6.332
Ca -0.988 -0.950 1.245
Ca 4.125 -7.996 2.046
O -1.267 -6.248 4.843
O -0.563 -3.942 8.457
O 2.214 -2.883 3.535
O 1.510 -5.188 -0.079
O 3.698 -3.802 5.875
O -3.252 -3.001 8.062
O -2.751 -5.328 2.503
O 4.199 -6.130 0.315
O 2.447 -6.234 5.931
O -1.824 -0.305 8.056
O -1.500 -2.896 2.447
O 2.771 -8.826 0.322
O 1.725 -7.879 2.497
O 0.136 -2.965 0.437
O -0.777 -1.252 5.881
O 0.811 -6.165 7.941
O -2.094 -4.497 0.035
O 4.273 -5.874 2.988
O 3.041 -4.633 8.343
O -3.326 -3.257 5.390
Te 0.516 -6.963 3.829
Te -2.082 -2.834 9.545
Te 0.432 -2.167 4.549
Te 3.029 -6.296 -1.167
Te 1.834 -4.754 6.931
Te -3.201 -4.747 6.499
Te -0.887 -4.376 1.447
Te 4.149 -4.383 1.879
```

## Properties
The value obtained for the total energy is -16.202 eV/atom. The theoretical density comes out at 4.7 g/cm³. For the raw formation energy, the calculation gives -1.79 eV per atom.

Material: CaThV2O8
Method: DFT, meta-GGA SCAN
State: single point on PBEsol structure Values from VASP.

Cell and atoms, written as Quantum ESPRESSO input:
```
&SYSTEM
  ibrav = 0, nat = 12, ntyp = 4
/
ATOMIC_SPECIES
Ca 40.08 Ca.upf
Th 232.04 Th.upf
V 50.94 V.upf
O 16.00 O.upf
CELL_PARAMETERS angstrom
6.047 -0.008 0.000
-2.664 5.429 0.000
-1.691 -2.710 5.135
ATOMIC_POSITIONS angstrom
Ca 0.000 0.000 0.000
Th 3.024 -0.004 2.567
V -1.332 2.714 2.567
V 1.691 2.710 0.000
O -2.703 2.252 3.486
O 1.931 1.305 0.947
O -1.367 -0.402 4.187
O -1.145 1.280 1.649
O 1.367 0.402 4.187
O -1.520 4.149 1.649
O 0.039 3.176 3.486
O 1.452 4.115 0.947
```

## Properties
The value obtained for the total energy is -19.105 eV/atom. The theoretical density comes out at 4.9 g/cm³. For the raw formation energy, the calculation gives -3.24 eV per atom.

Material: Ca2Ti3O8
Method: DFT, meta-GGA SCAN
State: single point on PBEsol structure Values from VASP.

Cell and atoms, written as Quantum ESPRESSO input:
```
&SYSTEM
  ibrav = 0, nat = 13, ntyp = 3
/
ATOMIC_SPECIES
Ca 40.08 Ca.upf
Ti 47.87 Ti.upf
O 16.00 O.upf
CELL_PARAMETERS angstrom
-3.367 -3.711 -0.514
1.671 -0.716 -5.776
4.049 -1.672 4.553
ATOMIC_POSITIONS angstrom
Ca 0.815 -3.730 -2.476
Ca 1.538 -2.370 0.739
Ti -1.683 -1.855 -0.257
Ti 0.444 -0.190 -1.535
Ti 1.227 -0.526 -4.241
O 3.703 -1.790 1.293
O -1.350 -4.309 -3.030
O 4.427 -2.330 -1.604
O -2.074 -3.769 -0.132
O 0.997 -2.446 -4.358
O 0.063 -2.045 -1.127
O 2.290 -4.054 -0.610
O 1.356 -3.653 2.621
```

## Properties
The value obtained for the total energy is -12.440 eV/atom. As for the polymorph energy (0 for the lowest one): 0.0 meV per atom. The theoretical density comes out at 3.7 g/cm³. For the raw formation energy, the calculation gives -3.42 eV per atom.

Material: Ca2Ti3O8
Method: DFT, meta-GGA SCAN
State: single point on PBEsol structure Values from VASP.

Cell and atoms, written as Quantum ESPRESSO input:
```
&SYSTEM
  ibrav = 0, nat = 26, ntyp = 3
/
ATOMIC_SPECIES
Ca 40.08 Ca.upf
Ti 47.87 Ti.upf
O 16.00 O.upf
CELL_PARAMETERS angstrom
6.025 0.000 0.000
-3.013 5.218 0.000
0.000 0.000 10.453
ATOMIC_POSITIONS angstrom
Ca 3.013 1.739 4.975
Ca 0.000 3.479 10.202
Ca 3.013 1.739 0.734
Ca 0.000 3.479 5.960
Ti 0.000 1.701 2.661
Ti 4.552 0.851 7.888
Ti 1.539 4.367 2.661
Ti 1.473 0.851 7.888
Ti 3.013 3.517 7.888
Ti -1.539 4.367 2.661
O 4.614 0.815 3.610
O 0.000 1.630 8.837
O 1.601 4.403 8.837
O 1.411 0.815 3.610
O 3.013 3.589 3.610
O -1.601 4.403 8.837
O 1.713 2.490 6.792
O 0.000 4.980 1.566
O -1.300 2.728 1.566
O 4.312 2.490 6.792
O 0.000 0.000 1.624
O 0.000 0.000 6.850
O 0.000 3.479 3.715
O 3.013 0.239 6.792
O 1.300 2.728 1.566
O 3.013 1.739 8.942
```

## Properties
The value obtained for the total energy is -12.332 eV/atom. As for the polymorph energy (0 for the lowest one): 108.6 meV per atom. The theoretical density comes out at 3.6 g/cm³. For the raw formation energy, the calculation gives -3.31 eV per atom.

Material: Ca2Ti9O13
Method: DFT, meta-GGA SCAN
State: single point on PBEsol structure Values from VASP.

Cell and atoms, written as Quantum ESPRESSO input:
```
&SYSTEM
  ibrav = 0, nat = 24, ntyp = 3
/
ATOMIC_SPECIES
Ca 40.08 Ca.upf
O 16.00 O.upf
Ti 47.87 Ti.upf
CELL_PARAMETERS angstrom
3.009 0.000 0.000
-1.505 4.922 -0.035
0.000 -2.762 16.274
ATOMIC_POSITIONS angstrom
Ca 0.000 1.551 3.705
Ca 1.505 0.608 12.534
O 0.000 0.000 0.000
O 1.505 3.316 3.714
O 0.000 -1.157 12.524
O 0.000 2.587 1.402
O 1.505 -0.427 14.837
O 1.505 0.375 2.311
O 0.000 1.785 13.928
O 1.505 0.416 5.171
O 0.000 1.743 11.067
O 0.000 2.663 6.053
O 1.505 -0.504 10.186
O 0.000 0.106 7.403
O 1.505 2.054 8.836
Ti 1.505 -1.381 8.137
Ti 1.505 1.456 0.573
Ti 0.000 0.703 15.666
Ti 1.505 1.568 6.835
Ti 0.000 0.591 9.404
Ti 1.505 3.940 1.854
Ti 0.000 -1.780 14.385
Ti 1.505 3.965 5.551
Ti 0.000 -1.806 10.688
```

## Properties
The value obtained for the total energy is -13.172 eV/atom. The theoretical density comes out at 5.0 g/cm³. For the raw formation energy, the calculation gives -2.98 eV per atom.